No. 1
## NaSiSe2N (GGA-PBE)

Data for a relaxed NaSiSe2N crystal.

a = 5.2085 Å, b = 5.2085 Å, c = 4.2833 Å
α = 90.00°, β = 90.00°, γ = 90.00°
Closest atoms and distances in Å follow each position.
Sites, in units of the cell vectors:
Na 0.0000 0.0000 0.0000  2 N 2.14
Si 0.5000 0.5000 0.5000  8 Se 3.37, 4 N 3.68
Se 0.0000 0.5000 0.0000  2 Na 2.60
Se 0.5000 0.0000 0.0000  2 Na 2.60
N 0.0000 0.0000 0.5000  2 Na 2.14

## Properties
SG: No. 123
Polymorph energy (0 for the lowest one): 7.740 eV per formula unit
Formation energy without anion corrections: 1407 meV/atom
Magnetization: 3.539 Bohr magnetons per cell
Calculated total energy: -3.00 eV per atom
D(E_F): 3.78 states/eV/cell

No. 2
## YCr3In (GGA-PBE)

Data for a relaxed YCr3In crystal.

a = 4.9802 Å, b = 4.9802 Å, c = 4.9802 Å
α = 90.00°, β = 90.00°, γ = 90.00°
Closest atoms and distances in Å follow each position.
Sites, in units of the cell vectors:
Y 0.0000 0.0000 0.0000  6 Cr 2.49
Cr 0.0000 0.0000 0.5000  2 Y 2.49
Cr 0.0000 0.5000 0.0000  2 Y 2.49
Cr 0.5000 0.0000 0.0000  2 Y 2.49
In 0.5000 0.5000 0.5000  12 Cr 3.52

## Properties
SG: No. 221
Polymorph energy (0 for the lowest one): 2.854 eV per formula unit
ΔH_f (0 K): 1.79 eV per atom
Magnetization: 10.696 Bohr magnetons per cell
Calculated total energy: -5.83 eV per atom
D(E_F): 4.87 states/eV/cell

No. 3
## Pm6Pr5Nd (GGA-PBE)

Data for a relaxed Pm6Pr5Nd crystal.

a = 6.3844 Å, b = 6.3844 Å, c = 12.1780 Å
α = 95.04°, β = 95.04°, γ = 120.01°
Closest atoms and distances in Å follow each position.
Sites, in units of the cell vectors:
Pm 0.0838 0.4169 0.7502  1 Nd 3.67, 5 Pr 3.67-3.68, 6 Pm 3.68-3.69
Pm 0.2500 0.2500 0.2496  5 Pr 3.67-3.68, 1 Nd 3.67, 6 Pm 3.68-3.69
Pm 0.4169 0.0838 0.7502  1 Nd 3.67, 5 Pr 3.67-3.68, 6 Pm 3.68-3.69
Pm 0.5831 0.9162 0.2498  1 Nd 3.67, 5 Pr 3.67-3.68, 6 Pm 3.68-3.69
Pm 0.7500 0.7500 0.7504  5 Pr 3.67-3.68, 1 Nd 3.67, 6 Pm 3.68-3.69
Pm 0.9162 0.5831 0.2498  1 Nd 3.67, 5 Pr 3.67-3.68, 6 Pm 3.68-3.69
Pr 0.0000 0.0000 0.5000  6 Pm 3.68, 6 Pr 3.69
Pr 0.1667 0.8333 0.0000  6 Pm 3.67-3.68, 3 Pr 3.68-3.69, 3 Nd 3.69
Pr 0.3334 0.6666 0.5000  6 Pm 3.68, 6 Pr 3.68-3.69
Pr 0.6666 0.3334 0.5000  6 Pm 3.68, 6 Pr 3.68-3.69
Pr 0.8333 0.1667 0.0000  6 Pm 3.67-3.68, 3 Pr 3.68-3.69, 3 Nd 3.69
Nd 0.5000 0.5000 0.0000  6 Pm 3.67, 6 Pr 3.69

## Properties
SG: No. 12
ΔH_f (0 K): 0.01 eV per atom
Magnetization: 0.000 Bohr magnetons per cell
Calculated total energy: -4.75 eV per atom
D(E_F): 18.56 states/eV/cell

No. 4
## Ba3Nb2S7 (GGA-PBE)

Data for a relaxed Ba3Nb2S7 crystal.

a = 12.9272 Å, b = 12.9272 Å, c = 4.8129 Å
α = 90.00°, β = 90.00°, γ = 157.95°
Closest atoms and distances in Å follow each position.
Sites, in units of the cell vectors:
Ba 0.0000 0.0000 0.0000  12 S 3.40-3.52
Ba 0.1805 0.8195 0.0000  8 S 3.23-3.48
Ba 0.8195 0.1805 0.0000  8 S 3.23-3.48
Nb 0.4013 0.5987 0.5000  6 S 2.41-2.51
Nb 0.5987 0.4013 0.5000  6 S 2.41-2.51
S 0.0948 0.9052 0.5000  2 Nb 2.47
S 0.3026 0.6974 0.5000  1 Nb 2.50
S 0.4013 0.5987 0.0000  2 Nb 2.41
S 0.5000 0.5000 0.5000  2 Nb 2.51
S 0.5987 0.4013 0.0000  2 Nb 2.41
S 0.6974 0.3026 0.5000  1 Nb 2.50
S 0.9052 0.0948 0.5000  2 Nb 2.47

## Properties
SG: No. 65
Formation energy without anion corrections: -1481 meV/atom
Magnetization: 0.000 Bohr magnetons per cell
Calculated total energy: -6.05 eV per atom
D(E_F): 4.62 states/eV/cell

No. 5
## AcPBrO4 (GGA-PBE)

Data for a relaxed AcPBrO4 crystal.

a = 6.7069 Å, b = 6.7069 Å, c = 7.0265 Å
α = 97.80°, β = 97.80°, γ = 59.12°
Closest atoms and distances in Å follow each position.
Sites, in units of the cell vectors:
Ac 0.2015 0.2015 0.3016  4 O 2.39-2.52
Ac 0.7985 0.7985 0.6984  4 O 2.39-2.52
P 0.1375 0.1375 0.7476  4 O 1.53-1.58
P 0.8625 0.8625 0.2524  4 O 1.53-1.58
Br 0.4861 0.4861 0.8343  1 Br 2.30
Br 0.5139 0.5139 0.1657  1 Br 2.30
O 0.0055 0.0055 0.7414  1 P 1.53
O 0.0107 0.6373 0.3671  1 P 1.58
O 0.2019 0.2019 0.9558  1 P 1.54
O 0.3627 0.9893 0.6329  1 P 1.58
O 0.6373 0.0107 0.3671  1 P 1.58
O 0.7981 0.7981 0.0442  1 P 1.54
O 0.9893 0.3627 0.6329  1 P 1.58
O 0.9945 0.9945 0.2586  1 P 1.53

## Properties
SG: No. 12
Formation energy without anion corrections: -2486 meV/atom
Magnetization: 0.000 Bohr magnetons per cell
Calculated total energy: -6.92 eV per atom

No. 6
## Mg7Si4 (GGA-PBE)

Data for a relaxed Mg7Si4 crystal.

a = 5.7723 Å, b = 6.1379 Å, c = 12.8734 Å
α = 99.98°, β = 97.86°, γ = 90.74°
Closest atoms and distances in Å follow each position.
Sites, in units of the cell vectors:
Mg 0.0000 0.0000 0.0000  4 Si 2.84-3.02, 5 Mg 3.00-3.16
Mg 0.0050 0.1726 0.7958  2 Si 2.83-3.00, 3 Mg 3.00-3.16
Mg 0.0470 0.6048 0.3785  4 Si 2.74-3.04, 1 Mg 3.01
Mg 0.3075 0.0471 0.2350  3 Si 2.76-2.85, 1 Mg 3.08
Mg 0.3081 0.7274 0.6638  3 Si 2.73-2.94, 1 Mg 3.03
Mg 0.3148 0.5085 0.1615  4 Si 2.73-3.01
Mg 0.3202 0.6430 0.8896  4 Si 2.61-2.83
Mg 0.4611 0.2564 0.6959  3 Si 2.71-2.89
Mg 0.7960 0.7665 0.1604  4 Si 2.83-3.07, 3 Mg 2.98-3.16
Mg 0.8016 0.8926 0.5766  2 Si 2.87-2.88, 4 Mg 3.07-3.14
Mg 0.8152 0.6609 0.7938  2 Si 2.72-2.97, 2 Mg 2.99-3.02
Mg 0.8244 0.2923 0.1832  3 Si 2.77-2.88, 4 Mg 2.98-3.01
Mg 0.8653 0.3987 0.5801  7 Mg 2.97-3.32, 3 Si 3.02-3.15
Mg 0.9229 0.0917 0.3805  4 Si 2.73-2.85, 2 Mg 2.97-3.00
Si 0.3205 0.9518 0.4990  2 Si 2.41-2.47
Si 0.3262 0.3421 0.4939  2 Si 2.41-2.43
Si 0.4964 0.0215 0.0399  2 Si 2.45-2.46
Si 0.5531 0.0150 0.8532  2 Si 2.46-2.62, 2 Mg 2.71-2.72
Si 0.5608 0.7904 0.3620  2 Si 2.39-2.47
Si 0.5763 0.4021 0.3635  2 Si 2.39-2.43
Si 0.5794 0.3818 0.9929  3 Si 2.39-2.62, 1 Mg 2.61
Si 0.9809 0.4724 0.9873  1 Si 2.39

## Properties
SG: No. 1
Polymorph energy (0 for the lowest one): 0.395 eV per formula unit
Formation energy without anion corrections: 52 meV/atom
Magnetization: 0.000 Bohr magnetons per cell
Calculated total energy: -2.93 eV per atom
D(E_F): 6.91 states/eV/cell

No. 7
## ScNi6Au2 (GGA-PBE)

Data for a relaxed ScNi6Au2 crystal.

a = 5.6505 Å, b = 5.6505 Å, c = 5.6505 Å
α = 60.00°, β = 60.00°, γ = 60.00°
Closest atoms and distances in Å follow each position.
Sites, in units of the cell vectors:
Sc 0.0000 0.0000 0.0000  6 Ni 2.31
Ni 0.2894 0.2894 0.7106  1 Sc 2.31, 4 Ni 2.38
Ni 0.2894 0.7106 0.2894  1 Sc 2.31, 4 Ni 2.38
Ni 0.2894 0.7106 0.7106  1 Sc 2.31, 4 Ni 2.38
Ni 0.7106 0.2894 0.2894  1 Sc 2.31, 4 Ni 2.38
Ni 0.7106 0.2894 0.7106  1 Sc 2.31, 4 Ni 2.38
Ni 0.7106 0.7106 0.2894  1 Sc 2.31, 4 Ni 2.38
Au 0.2500 0.2500 0.2500  12 Ni 2.84
Au 0.7500 0.7500 0.7500  12 Ni 2.84

## Properties
SG: No. 225
ΔH_f (0 K): 0.26 eV per atom
Magnetization: 1.106 Bohr magnetons per cell
Calculated total energy: -5.03 eV per atom
D(E_F): 9.85 states/eV/cell

No. 8
## TbTh2Sb3 (GGA-PBE)

Data for a relaxed TbTh2Sb3 crystal.

a = 7.7571 Å, b = 7.7571 Å, c = 7.7571 Å
α = 146.55°, β = 131.82°, γ = 59.93°
Closest atoms and distances in Å follow each position.
Sites, in units of the cell vectors:
Tb 0.0000 0.0000 0.0000  6 Sb 3.12-3.17
Th 0.3324 0.3324 0.0000  6 Sb 3.17-3.20
Th 0.6676 0.6676 0.0000  6 Sb 3.17-3.20
Sb 0.1624 0.6624 0.5000  2 Tb 3.12, 4 Th 3.17-3.20
Sb 0.5000 0.0000 0.5000  2 Tb 3.17, 4 Th 3.17
Sb 0.8376 0.3376 0.5000  2 Tb 3.12, 4 Th 3.17-3.20

## Properties
SG: No. 71
Formation energy without anion corrections: -989 meV/atom
Magnetization: 0.000 Bohr magnetons per cell
Calculated total energy: -6.30 eV per atom
D(E_F): 3.04 states/eV/cell

No. 9
## TlSb2 (GGA-PBE)

Data for a relaxed TlSb2 crystal.

a = 4.3471 Å, b = 4.3471 Å, c = 5.4935 Å
α = 90.00°, β = 90.00°, γ = 90.00°
Closest atoms and distances in Å follow each position.
Sites, in units of the cell vectors:
Tl 0.0000 0.0000 0.0000  8 Sb 3.50
Sb 0.0000 0.5000 0.5000  4 Sb 3.07
Sb 0.5000 0.0000 0.5000  4 Sb 3.07

## Properties
SG: No. 123
Formation energy without anion corrections: 115 meV/atom
Magnetization: 0.000 Bohr magnetons per cell
Calculated total energy: -3.42 eV per atom
D(E_F): 1.81 states/eV/cell

No. 10
## La3CdO (GGA-PBE)

Data for a relaxed La3CdO crystal.

a = 7.2773 Å, b = 7.2773 Å, c = 12.2890 Å
α = 118.49°, β = 118.49°, γ = 31.96°
Closest atoms and distances in Å follow each position.
Sites, in units of the cell vectors:
La 0.0000 0.0000 0.0000  1 O 2.31
La 0.0008 0.0008 0.4611  2 O 2.38
La 0.2344 0.2344 0.7998  2 Cd 3.33
La 0.2378 0.2378 0.3483  2 O 2.36-2.45
La 0.4720 0.4720 0.7063  1 O 2.35
La 0.7674 0.7674 0.1070  2 O 2.35
Cd 0.4996 0.4996 0.2252  8 La 3.42-3.52
Cd 0.7395 0.7395 0.5866  8 La 3.33-3.54
O 0.1890 0.1890 0.1269  4 La 2.31-2.45
O 0.4279 0.4279 0.4952  4 La 2.35-2.38

## Properties
SG: No. 8
Polymorph energy (0 for the lowest one): 0.371 eV per formula unit
Formation energy without anion corrections: -1233 meV/atom
Magnetization: 0.000 Bohr magnetons per cell
Calculated total energy: -5.36 eV per atom
D(E_F): 10.95 states/eV/cell